(1)
A geometry-optimized CdRu2Pt structure, computed with GGA-PBE.

Computed properties:
The density of states at the Fermi level comes out at 11.1 states/eV per cell. Its symmetry is I-4m2. For the energy of formation from the pure elements, the calculation gives 5.08 kcal/mol of atoms.

a b c (Å): 3.961 3.961 7.959
angles (deg): 90.00 90.00 90.00
Positions (direct):
Cd: 0.000 0.000 0.000
Cd: 0.500 0.500 0.500
Ru: 0.000 0.000 0.500
Ru: 0.000 0.500 0.250
Ru: 0.500 0.000 0.750
Ru: 0.500 0.500 0.000
Pt: 0.000 0.500 0.750
Pt: 0.500 0.000 0.250



(2)
A geometry-optimized CdRu2Pt structure, computed with GGA-PBE.

Computed properties:
The density of states at the Fermi level comes out at 9.4 states/eV per cell. Its symmetry is C2/m. For the energy of formation from the pure elements, the calculation gives 4.81 kcal/mol of atoms.

a b c (Å): 9.298 2.791 4.932
angles (deg): 90.00 99.62 90.00
Positions (direct):
Cd: 0.000 0.000 0.000
Cd: 0.500 0.500 0.000
Ru: 0.241 0.000 0.724
Ru: 0.259 0.500 0.276
Ru: 0.741 0.500 0.724
Ru: 0.759 0.000 0.276
Pt: 0.000 0.500 0.500
Pt: 0.500 0.000 0.500



(3)
A geometry-optimized CdRuPt2 structure, computed with GGA-PBE.

Computed properties:
The density of states at the Fermi level comes out at 9.0 states/eV per cell. Its symmetry is F-43m. For the energy of formation from the pure elements, the calculation gives 4.16 kcal/mol of atoms.

a b c (Å): 6.406 6.406 6.406
angles (deg): 90.00 90.00 90.00
Positions (direct):
Cd: 0.000 0.000 0.000
Cd: 0.000 0.500 0.500
Cd: 0.500 0.000 0.500
Cd: 0.500 0.500 0.000
Ru: 0.250 0.250 0.250
Ru: 0.250 0.750 0.750
Ru: 0.750 0.250 0.750
Ru: 0.750 0.750 0.250
Pt: 0.000 0.000 0.500
Pt: 0.000 0.500 0.000
Pt: 0.250 0.250 0.750
Pt: 0.250 0.750 0.250
Pt: 0.500 0.000 0.000
Pt: 0.500 0.500 0.500
Pt: 0.750 0.250 0.250
Pt: 0.750 0.750 0.750



(4)
A geometry-optimized CdRuPt2 structure, computed with GGA-PBE.

Computed properties:
The density of states at the Fermi level comes out at 4.3 states/eV per cell. Its symmetry is P4/mmm. For the energy of formation from the pure elements, the calculation gives 2.30 kcal/mol of atoms.

a b c (Å): 3.960 3.960 4.107
angles (deg): 90.00 90.00 90.00
Positions (direct):
Cd: 0.000 0.000 0.000
Ru: 0.500 0.500 0.000
Pt: 0.000 0.500 0.500
Pt: 0.500 0.000 0.500